Entry 1:
Material: ThAsS
Method: DFT, PBE
State: optimized geometry

abc: 4.8339 4.8339 4.8339
angles: 60.00 60.00 60.00
Closest atoms and distances in Å follow each position.
Sites, in units of the cell vectors:
Th: 0.0000 0.0000 0.0000  4 S 2.96, 4 As 2.96
As: 0.2500 0.2500 0.2500  4 Th 2.96
S: 0.7500 0.7500 0.7500  4 Th 2.96

Properties
E_tot = -19.42 eV/cell
ΔE_f (raw) = -1.0751 eV/atom

Entry 2:
Material: ThAsS
Method: DFT, PBE
State: optimized geometry

abc: 4.0351 4.0351 8.3331
angles: 90.00 90.00 90.00
Closest atoms and distances in Å follow each position.
Sites, in units of the cell vectors:
Th: 0.2500 0.2500 0.2210  5 S 2.95, 4 As 3.08
Th: 0.7500 0.7500 0.7790  5 S 2.95, 4 As 3.08
As: 0.2500 0.7500 0.5000  4 As 2.85, 4 Th 3.08
As: 0.7500 0.2500 0.5000  4 As 2.85, 4 Th 3.08
S: 0.2500 0.2500 0.8667  5 Th 2.95
S: 0.7500 0.7500 0.1333  5 Th 2.95

Properties
E_tot = -41.67 eV/cell
ΔE_f (raw) = -1.5457 eV/atom

Entry 3:
Material: Th2AsS
Method: DFT, PBE
State: optimized geometry

abc: 7.1537 7.1537 7.1537
angles: 33.82 33.82 33.82
Closest atoms and distances in Å follow each position.
Sites, in units of the cell vectors:
Th: 0.2463 0.2463 0.2463  3 S 2.89, 3 As 2.98
Th: 0.7537 0.7537 0.7537  3 S 2.89, 3 As 2.98
As: 0.0000 0.0000 0.0000  6 Th 2.98
S: 0.5000 0.5000 0.5000  6 Th 2.89

Properties
E_tot = -30.10 eV/cell
ΔE_f (raw) = -1.6219 eV/atom

Entry 4:
Material: Th3As3S
Method: DFT, PBE
State: optimized geometry

abc: 5.8888 5.8888 5.8888
angles: 90.00 90.00 90.00
Closest atoms and distances in Å follow each position.
Sites, in units of the cell vectors:
Th: 0.0000 0.0000 0.5000  2 S 2.94, 4 As 2.94
Th: 0.0000 0.5000 0.0000  2 S 2.94, 4 As 2.94
Th: 0.5000 0.0000 0.0000  2 S 2.94, 4 As 2.94
As: 0.0000 0.5000 0.5000  4 Th 2.94
As: 0.5000 0.0000 0.5000  4 Th 2.94
As: 0.5000 0.5000 0.0000  4 Th 2.94
S: 0.0000 0.0000 0.0000  6 Th 2.94

Properties
E_tot = -48.36 eV/cell
ΔE_f (raw) = -1.1470 eV/atom

Entry 5:
Material: Th4As2S
Method: DFT, PBE
State: optimized geometry

abc: 7.7280 7.7280 7.7280
angles: 109.83 109.83 108.75
Closest atoms and distances in Å follow each position.
Sites, in units of the cell vectors:
Th: 0.1173 0.2345 0.7430  1 S 2.89, 3 As 2.97-3.22
Th: 0.1243 0.7415 0.7570  1 S 2.89, 3 As 2.97-3.22
Th: 0.2585 0.0155 0.3829  1 S 2.89, 3 As 2.97-3.22
Th: 0.4915 0.3743 0.2570  1 S 2.89, 3 As 2.97-3.22
Th: 0.6257 0.8827 0.1171  1 S 2.89, 3 As 2.97-3.22
Th: 0.6327 0.8757 0.6171  1 S 2.89, 3 As 2.97-3.22
Th: 0.7655 0.5085 0.8829  1 S 2.89, 3 As 2.97-3.22
Th: 0.9845 0.3673 0.2430  1 S 2.89, 3 As 2.97-3.22
As: 0.2560 0.6250 0.1310  8 Th 2.97-3.25
As: 0.3750 0.5060 0.6310  8 Th 2.97-3.25
As: 0.4940 0.1250 0.8690  8 Th 2.97-3.25
As: 0.8750 0.7440 0.3690  8 Th 2.97-3.25
S: 0.0000 0.0000 0.0000  4 Th 2.89
S: 0.7500 0.2500 0.5000  4 Th 2.89

Properties
E_tot = -101.74 eV/cell
ΔE_f (raw) = -1.1089 eV/atom

Entry 6:
Material: Th4AsS3
Method: DFT, PBE
State: optimized geometry

abc: 5.8001 5.8001 5.8001
angles: 90.00 90.00 90.00
Closest atoms and distances in Å follow each position.
Sites, in units of the cell vectors:
Th: 0.0000 0.0000 0.0000  6 S 2.90
Th: 0.0000 0.5000 0.5000  4 S 2.90, 2 As 2.90
Th: 0.5000 0.0000 0.5000  4 S 2.90, 2 As 2.90
Th: 0.5000 0.5000 0.0000  4 S 2.90, 2 As 2.90
As: 0.5000 0.5000 0.5000  6 Th 2.90
S: 0.0000 0.0000 0.5000  6 Th 2.90
S: 0.0000 0.5000 0.0000  6 Th 2.90
S: 0.5000 0.0000 0.0000  6 Th 2.90

Properties
E_tot = -60.50 eV/cell
ΔE_f (raw) = -1.7230 eV/atom